Li2PdCl (PBE-GGA, relaxed); spin magnetization = 0.00 μB per formula unit; ΔE_f (raw) = -45.7 kJ per mole of atoms; excess energy over the best structure of this formula in the dataset = 0.119 eV per atom; DOS at the Fermi energy = 1.55 states/eV/cell; energy = -12.76 eV/cell
1.0
-1.911 -2.907 2.863
-0.652 1.173 4.301
-4.174 0.751 1.522
Li Cl Pd
2 1 1
direct
0.750 0.750 0.750
0.250 0.250 0.250
0.000 0.000 0.000
0.500 0.500 0.500

=====

K3Si5I12 (PBE-GGA, relaxed); spin magnetization = 0.00 μB per formula unit; ΔE_f (raw) = -31.6 kJ per mole of atoms; DOS at the Fermi energy = 25.51 states/eV/cell; energy = -222.27 eV/cell
1.0
16.599 0.000 0.000
-5.533 15.650 0.000
-5.533 -7.825 13.553
K I Si
12 48 20
direct
0.375 0.750 0.625
0.250 0.125 0.375
0.875 0.750 0.125
0.250 0.625 0.875
0.375 0.625 0.250
0.750 0.375 0.125
0.625 0.375 0.750
0.625 0.250 0.375
0.875 0.125 0.250
0.750 0.875 0.625
0.125 0.875 0.750
0.125 0.250 0.875
0.579 0.691 0.677
0.902 0.079 0.887
0.598 0.613 0.421
0.515 0.191 0.113
0.887 0.579 0.902
0.677 0.485 0.598
0.921 0.098 0.613
0.177 0.098 0.985
0.823 0.902 0.015
0.613 0.598 0.921
0.421 0.113 0.598
0.113 0.421 0.098
0.921 0.823 0.809
0.598 0.985 0.677
0.402 0.015 0.323
0.823 0.921 0.309
0.387 0.402 0.079
0.421 0.309 0.323
0.613 0.015 0.191
0.387 0.985 0.809
0.809 0.485 0.387
0.323 0.515 0.402
0.191 0.677 0.079
0.098 0.177 0.485
0.485 0.809 0.887
0.079 0.177 0.191
0.579 0.887 0.402
0.015 0.402 0.823
0.177 0.079 0.691
0.098 0.921 0.113
0.985 0.598 0.177
0.323 0.809 0.421
0.887 0.309 0.485
0.309 0.887 0.985
0.677 0.191 0.579
0.691 0.113 0.015
0.691 0.579 0.177
0.191 0.515 0.613
0.113 0.691 0.515
0.515 0.323 0.902
0.309 0.421 0.823
0.902 0.823 0.515
0.485 0.677 0.098
0.015 0.613 0.691
0.402 0.387 0.579
0.079 0.902 0.387
0.809 0.323 0.921
0.985 0.387 0.309
0.500 0.000 0.000
0.250 0.875 0.125
0.500 0.500 0.500
0.500 0.000 0.500
0.000 0.000 0.000
0.000 0.500 0.000
0.375 0.125 0.750
0.625 0.750 0.875
0.000 0.000 0.500
0.000 0.500 0.500
0.750 0.125 0.875
0.875 0.625 0.750
0.500 0.500 0.000
0.375 0.250 0.125
0.625 0.875 0.250
0.125 0.375 0.250
0.750 0.625 0.375
0.250 0.375 0.625
0.125 0.750 0.375
0.875 0.250 0.625

=====

Pr2CoNi3P4 (PBE-GGA, relaxed); spin magnetization = 1.03 μB per formula unit; DOS at the Fermi energy = 5.72 states/eV/cell; energy = -65.16 eV/cell
1.0
-2.034 -3.462 0.500
0.240 -0.715 -3.976
8.014 -4.521 1.298
Pr Ni P Co
2 3 4 1
direct
0.000 0.500 0.753
0.500 0.000 0.247
0.000 0.500 0.114
0.500 0.000 0.886
0.000 0.000 0.500
0.500 0.500 0.000
0.000 0.000 0.000
0.000 0.500 0.371
0.500 0.000 0.629
0.500 0.500 0.500

=====

Hf6Tl2C (PBE-GGA, relaxed); spin magnetization = 0.00 μB per formula unit; DOS at the Fermi energy = 25.59 states/eV/cell; energy = -150.18 eV/cell
1.0
-4.862 -3.926 1.151
3.003 -2.212 5.143
-3.939 6.353 5.033
C Hf Tl
2 12 4
direct
0.500 0.500 0.000
0.000 0.000 0.500
0.255 0.746 0.500
0.245 0.754 0.000
0.000 0.000 0.754
0.755 0.246 0.000
0.500 0.500 0.254
0.245 0.246 0.000
0.745 0.746 0.500
0.745 0.254 0.500
0.500 0.500 0.746
0.255 0.254 0.500
0.755 0.754 0.000
0.000 0.000 0.246
0.000 0.500 0.750
0.500 0.000 0.750
0.000 0.500 0.250
0.500 0.000 0.250

=====

Pm2YTm3 (PBE-GGA, relaxed); spin magnetization = 0.00 μB per formula unit; excess energy over the best structure of this formula in the dataset = 0.000 eV per atom; DOS at the Fermi energy = 19.16 states/eV/cell; energy = -57.33 eV/cell
1.0
-1.576 1.528 2.714
-1.069 -7.030 5.580
10.334 1.059 7.647
Tm Y Pm
6 2 4
direct
0.402 0.171 0.026
0.737 0.818 0.709
0.598 0.829 0.974
0.039 0.130 0.792
0.961 0.870 0.208
0.263 0.182 0.291
0.562 0.518 0.357
0.438 0.482 0.643
0.819 0.479 0.882
0.343 0.844 0.469
0.181 0.521 0.118
0.657 0.156 0.531

=====

NiOs2Pb (PBE-GGA, relaxed); spin magnetization = 0.00 μB per formula unit; DOS at the Fermi energy = 5.06 states/eV/cell; energy = -28.26 eV/cell
1.0
9.653 0.091 0.054
9.205 2.907 0.054
9.205 1.464 2.512
Pb Ni Os
1 1 2
direct
0.250 0.250 0.250
0.750 0.750 0.750
0.485 0.485 0.485
0.015 0.015 0.015

=====

NbAlAs (PBE-GGA, relaxed); spin magnetization = 0.00 μB per formula unit; DOS at the Fermi energy = 2.44 states/eV/cell; energy = -39.56 eV/cell
1.0
3.364 0.000 0.000
0.000 3.364 0.000
0.000 0.000 8.750
Nb As Al
2 2 2
direct
0.500 0.500 0.154
0.000 0.000 0.654
0.000 0.000 0.002
0.500 0.500 0.502
0.000 0.000 0.331
0.500 0.500 0.831

=====

Ni3Rh3S8 (PBE-GGA, relaxed); spin magnetization = 0.00 μB per formula unit; ΔE_f (raw) = -42.1 kJ per mole of atoms; DOS at the Fermi energy = 7.92 states/eV/cell; energy = -78.53 eV/cell
1.0
5.922 -0.013 3.379
1.956 5.589 3.379
-0.018 -0.013 6.818
Ni Rh S
3 3 8
direct
0.375 0.375 0.375
0.625 0.625 0.625
0.000 0.000 0.000
0.000 0.000 0.500
0.500 0.000 0.000
0.000 0.500 0.000
0.241 0.241 0.767
0.233 0.759 0.759
0.759 0.233 0.759
0.756 0.756 0.756
0.767 0.241 0.241
0.241 0.767 0.241
0.244 0.244 0.244
0.759 0.759 0.233

=====

What is the energy in the eighth record?
-78.53 eV/cell

=====

Which of these has the highest spin magnetization?
Pr2CoNi3P4

=====

Which of these has the lowest DOS at the Fermi energy?
Li2PdCl